Entry 1:
ReTcGe6 | Alexandria | GGA-PBE | optimized geometry; symmetry = P-1 (2); DOS(E_F) = 4.96 states/eV/f.u.; final energy = -6.0838 eV per atom
1.0
-3.924 1.152 -2.378
-4.655 -0.081 2.881
-2.269 6.522 2.268
Ge Re Tc
6 1 1
Cartesian
-4.667 2.497 -0.495
-6.610 1.675 2.258
-6.181 5.095 3.265
-7.380 5.555 0.762
-4.238 5.917 0.513
-3.468 2.038 2.009
0.000 0.000 0.000
-5.424 3.796 1.385

Entry 2:
CaLa3Hg4 | Alexandria | GGA-PBE | optimized geometry; symmetry = P4/mmm (123); DOS(E_F) = 5.73 states/eV/f.u.; final energy = -2.7792 eV per atom
1.0
-2.385 1.965 -4.515
-5.884 -5.088 0.894
-5.420 7.330 6.053
Ca La Hg
2 6 8
Cartesian
-5.652 1.121 3.473
-2.942 -2.544 0.447
-5.488 0.270 -0.295
-2.710 3.665 3.027
-2.547 2.814 -0.742
-8.201 3.937 2.727
-5.259 6.481 2.281
0.000 0.000 0.000
-8.283 0.859 1.435
-8.119 0.008 -2.334
-5.406 3.347 0.998
-5.242 2.496 -2.771
-5.573 -2.806 -1.592
-5.570 4.199 4.766
-8.447 1.710 5.203
-2.696 -0.318 -2.029

Entry 3:
TaIn2Rh | Alexandria | GGA-PBE | optimized geometry; symmetry = R-3m (166); DOS(E_F) = 3.74 states/eV/f.u.; final energy = -6.0985 eV per atom
1.0
9.230 -1.540 0.006
9.230 1.540 0.006
8.971 0.000 2.661
Rh In Ta
1 2 1
Cartesian
13.715 0.000 1.336
20.732 0.000 2.020
6.698 0.000 0.653
0.000 0.000 0.000

Entry 4:
Tb4Pr2Tl | Alexandria | GGA-PBE | optimized geometry; symmetry = P2_1/m (11); DOS(E_F) = 8.22 states/eV/f.u.; final energy = -4.3622 eV per atom
1.0
-3.683 -3.819 2.403
4.784 -4.758 -0.229
5.536 5.130 9.058
Pr Tb Tl
4 8 2
Cartesian
1.709 -5.532 1.379
4.057 -3.432 6.798
4.927 2.085 9.853
2.579 -0.015 4.434
5.446 -1.907 4.113
7.334 -2.471 7.132
1.190 -1.541 7.119
1.780 -0.662 1.185
-0.697 -0.976 4.100
5.019 -0.169 7.243
1.617 -3.278 3.989
4.856 -2.785 10.047
4.062 -3.177 1.601
2.574 -0.271 9.631

Values of formation enthalpy at 0 K, in order: 0.2309; -0.5303; 0.0718; -0.0127, all in eV per atom.